A plane-wave DFT calculation with PBE was carried out for a relaxed MgZrAg2 crystal.

Summary:
DFT total energy, eV per atom: -3.61

Lattice parameters (Å, degrees): 2.843 5.309 11.239 90.00 90.00 90.00
Space group Immm (No. 71)
Unique sites:
Mg  0.000  0.000  0.000
Zr  0.000  0.000  0.500
Ag  0.000  0.000  0.243

=====

A plane-wave DFT calculation with PBE was carried out for a relaxed Lu2ZnAg crystal.

Summary:
DFT total energy, eV per atom: -3.64

Lattice parameters (Å, degrees): 3.540 3.540 7.001 90.00 90.00 90.00
Space group P4/mmm (No. 123)
Unique sites:
Lu  0.000  0.000  0.244
Zn  0.500  0.500  0.000
Ag  0.500  0.500  0.500

=====

A plane-wave DFT calculation with PBE was carried out for a relaxed SiAsC2I crystal.

Summary:
E_form (uncorrected), meV per atom: 1786

Lattice parameters (Å, degrees): 3.784 3.784 7.730 90.00 90.00 90.00
Space group P4/mmm (No. 123)
Unique sites:
Si  0.000  0.000  0.000
As  0.500  0.500  0.500
C  0.000  0.500  0.000
I  0.000  0.000  0.500

=====

A plane-wave DFT calculation with PBE was carried out for a relaxed CsTl3Rh crystal.

Summary:
DFT total energy, eV per atom: -3.08

Lattice parameters (Å, degrees): 13.130 5.337 10.435 90.00 116.00 90.00
Space group C2/m (No. 12)
Unique sites:
Cs  0.233  0.000  0.142
Tl  0.000  0.000  0.271
Tl  0.000  0.500  0.000
Tl  0.000  0.500  0.500
Tl  0.219  0.000  0.578
Rh  0.050  0.500  0.276

=====

A plane-wave DFT calculation with PBE was carried out for a relaxed PaCu2Br6 crystal.

Summary:
E_form (uncorrected), meV per atom: -879

Lattice parameters (Å, degrees): 15.442 11.212 7.072 90.00 105.92 90.00
Space group C2/c (No. 15)
Unique sites:
Pa  0.000  0.133  0.250
Cu  0.054  0.404  0.145
Br  0.100  0.078  0.643
Br  0.107  0.408  0.529
Br  0.143  0.231  0.128

=====

A plane-wave DFT calculation with PBE was carried out for a relaxed Pr16Er7Tm6 crystal.

Summary:
DFT total energy, eV per atom: -4.46

Lattice parameters (Å, degrees): 16.022 16.022 16.022 90.00 90.00 90.00
Space group Fm-3m (No. 225)
Unique sites:
Pr  0.125  0.125  0.125
Pr  0.148  0.148  0.352
Er  0.000  0.000  0.000
Er  0.000  0.250  0.250
Tm  0.000  0.000  0.262

=====

> Which formula does entry 1 have?

MgZrAg2